Entry 1:
The following is a PBE-GGA calculation of a relaxed Tb6Sm3Y2Tm crystal, from Alexandria via LeMat-Bulk.

Lattice parameters (Å, degrees): 6.191 6.191 11.844 94.98 94.98 119.97
Fractional positions:
Sm 0.833 0.167 0.500
Sm 0.167 0.833 0.500
Sm 0.500 0.500 0.500
Tm 0.000 0.000 0.000
Tb 0.249 0.249 0.752
Tb 0.415 0.083 0.248
Tb 0.585 0.917 0.752
Tb 0.751 0.751 0.248
Tb 0.917 0.585 0.752
Tb 0.083 0.415 0.248
Y 0.333 0.667 0.000
Y 0.667 0.333 0.000

* density of states at the Fermi level: 1.343 states/eV/atom
* energy relative to the elements: 17 meV/atom
* energy: -4.9282 eV per atom
* SG: C2/m, No. 12

---

Entry 2:
The following is a PBE-GGA calculation of a relaxed CrReTe crystal, from Alexandria via LeMat-Bulk.

Lattice parameters (Å, degrees): 4.194 4.194 4.194 60.00 60.00 60.00
Fractional positions:
Cr 0.750 0.750 0.750
Re 0.000 0.000 0.000
Te 0.500 0.500 0.500

* density of states at the Fermi level: 0.484 states/eV/atom
* E_form (uncorrected): 0.455 eV/atom
* relative energy among the computed polymorphs: 0 meV/atom
* energy: -7.9496 eV per atom
* SG: F-43m, No. 216

---

Entry 3:
The following is a PBE-GGA calculation of a relaxed ZrMn2Au crystal, from Alexandria via LeMat-Bulk.

Lattice parameters (Å, degrees): 3.673 3.282 6.570 60.01 90.00 90.00
Each line ends with the local moment (μB).
Fractional positions:
Au 0.500 0.731 0.769  0.00
Mn 0.500 0.260 0.240  3.00
Mn 0.000 0.992 0.008  3.46
Zr 0.000 0.517 0.483  -0.47

* density of states at the Fermi level: 0.829 states/eV/atom
* relative energy among the computed polymorphs: 91 meV/atom
* energy relative to the elements: -20 meV/atom
* energy: -7.5608 eV per atom
* SG: Pmm2, No. 25

---

Entry 4:
The following is a PBE-GGA calculation of a relaxed Li2CoRh crystal, from Alexandria via LeMat-Bulk.

Lattice parameters (Å, degrees): 4.735 4.735 4.667 67.26 67.26 32.01
Each line ends with the local moment (μB).
Fractional positions:
Li 0.752 0.752 0.835  -0.03
Li 0.994 0.994 0.916  -0.03
Co 0.248 0.248 0.347  1.16
Rh 0.507 0.507 0.402  0.11

* density of states at the Fermi level: 0.712 states/eV/atom
* relative energy among the computed polymorphs: 45 meV/atom
* energy relative to the elements: 9 meV/atom
* energy: -4.5623 eV per atom
* SG: Cm, No. 8

---

- Which formula does entry 1 have?
  Tb6Sm3Y2Tm